Hf2ScCo2, relaxed, DFT GGA-PBE; E above lowest polymorph = 0.1438 eV per atom; ΔE_f = -68 kJ/mol of formula units; calculated volume = 17.01 A^3/atom; density of states at the Fermi level = 7.16 states/eV per cell; E = -82.3 eV per cell; calculated density = 10.15 g/cm³
1.0
7.6224 0.0000 0.0000
0.0000 7.6224 0.0000
0.0000 0.0000 2.9281
Sc Co Hf
2 4 4
direct
0.0000 0.0000 0.0000
0.5000 0.5000 0.0000
0.1495 0.6495 0.5000
0.6495 0.8505 0.5000
0.8505 0.3505 0.5000
0.3505 0.1495 0.5000
0.3536 0.8536 0.0000
0.8536 0.6464 0.0000
0.6464 0.1464 0.0000
0.1464 0.3536 0.0000